# NdCdMo2O8

Crystalline NdCdMo2O8 at its relaxed geometry (PBE+U, Alexandria).

```
NdCdMo2O8
1.0
-1.965 0.050 -4.938
-2.599 -4.529 0.988
-2.260 5.247 3.812
O Nd Cd Mo
8 1 1 2
Direct
0.095 0.997 0.667 O
0.330 0.905 0.333 O
0.417 0.330 0.169 O
0.752 0.839 0.169 O
0.161 0.583 0.831 O
0.003 0.429 0.333 O
0.670 0.248 0.831 O
0.571 0.670 0.667 O
0.750 0.250 0.500 Nd
0.000 0.000 0.000 Cd
0.250 0.750 0.500 Mo
0.500 0.500 0.000 Mo
```

Output
Crystal system ... tetragonal
VASP energy ... -6.90 eV/atom